Entry 1:
Entry from Alexandria via LeMat-Bulk: a geometry-optimized Li6NdMg6 structure (PBE).

POSCAR file:
```
Li6NdMg6
1.0
-2.736 5.054 5.164
2.736 -5.054 5.164
2.736 5.054 -5.164
Li Nd Mg
6 1 6
direct
0.000 0.000 0.500 Li
0.000 0.500 0.000 Li
0.222 0.222 0.000 Li
0.500 0.000 0.000 Li
0.500 0.500 0.500 Li
0.778 0.778 0.000 Li
0.000 0.500 0.500 Nd
0.201 0.000 0.201 Mg
0.349 0.500 0.849 Mg
0.351 0.851 0.500 Mg
0.649 0.149 0.500 Mg
0.651 0.500 0.151 Mg
0.799 0.000 0.799 Mg
```

Summary:
- total energy (eV per atom) = -2.019
- E_form (kcal/mol of atoms) = -0.8

---

Entry 2:
Entry from Alexandria via LeMat-Bulk: a geometry-optimized KLaRe2 structure (PBE).

POSCAR file:
```
KLaRe2
1.0
3.049 0.000 0.000
0.000 4.119 0.000
-1.474 0.000 9.286
K La Re
1 1 2
direct
0.000 0.000 0.000 K
0.866 0.500 0.427 La
0.239 0.500 0.714 Re
0.585 0.000 0.638 Re
```

Summary:
- total energy (eV per atom) = -7.158
- E_form (kcal/mol of atoms) = 13.2